Computed, not measured: a relaxed PuCo4Ge crystal at the PBE-GGA level of DFT.

Unit cell a=4.8862 b=4.8862 c=4.8862 alpha=60.00 beta=60.00 gamma=60.00
Last column: nearest neighbours and their distance in Å.
Fractional positions:
Pu 0.0000 0.0000 0.0000  12 Co 2.87, 4 Ge 2.99
Co 0.3761 0.3761 0.3761  6 Co 2.42-2.46
Co 0.3761 0.3761 0.8718  6 Co 2.42-2.46
Co 0.3761 0.8718 0.3761  6 Co 2.42-2.46
Co 0.8718 0.3761 0.3761  6 Co 2.42-2.46
Ge 0.7500 0.7500 0.7500  12 Co 2.86, 4 Pu 2.99

Computed properties:
formation enthalpy at 0 K	-0.12	eV per atom
relative energy among the computed polymorphs	0.000	eV/atom
magnetization	0.64	μB per formula unit
symmetry	F-43m, No. 216
final energy	-8.02	eV/atom